The following is a PBE-GGA calculation of Ga2IO6 after structural relaxation, from Alexandria.

It has space group P4_2/mnm (No. 136), with a = 4.6669 Å, b = 4.6669 Å, c = 9.2969 Å, α = 90.00°, β = 90.00° and γ = 90.00°. The asymmetric unit holds Ga at (0.0000, 0.0000, 0.1661), I at (0.0000, 0.0000, 0.5000), O at (0.1921, 0.1921, 0.0000) and O at (0.1943, 0.1943, 0.3326).

The total DFT energy (no corrections) is -93.64 eV for the cell shown. The value obtained for the magnetization is 0.00 Bohr magnetons per cell. As for the uncorrected formation energy: -1.052 eV/atom.